Computed, not measured: Tb4Er after structural relaxation at the PBE level of DFT. Values from VASP.

space-group type	Pm-3m, No. 221
total magnetic moment	0.00	μB per atom
ΔH_f (0 K)	0.7061	eV per atom
DOS(E_F)	1.39	states/eV per atom

Cell and atoms, written as Quantum ESPRESSO input:
```
&SYSTEM
  ibrav = 0, nat = 5, ntyp = 2
/
ATOMIC_SPECIES
Tb 158.93 Tb.upf
Er 167.26 Er.upf
ATOMIC_POSITIONS crystal
Tb 0.000 0.000 0.000
Tb 0.000 0.500 0.500
Tb 0.500 0.000 0.500
Tb 0.500 0.500 0.000
Er 0.500 0.500 0.500
CELL_PARAMETERS angstrom
5.644 0.000 0.000
0.000 5.644 0.000
0.000 0.000 5.644
```